## GdDyCdSn (GGA-PBE)

Data for a geometry-optimized GdDyCdSn structure.

As for the formation energy: -0.511 eV/atom. As for the crystal system: cubic.

The space group is F-43m (No. 216) and the conventional cell measures 7.5142, 7.5142 and 7.5142 Å, with angles of 90.00, 90.00 and 90.00 degrees. The distinct sites, in fractional coordinates, are Gd at (0.0000, 0.0000, 0.0000), Dy at (0.0000, 0.0000, 0.5000), Cd at (0.2500, 0.2500, 0.7500) and Sn at (0.2500, 0.2500, 0.2500).